Compound: Mn2Al2Ru
Source: Alexandria via LeMat-Bulk
Functional: PBE
Structure: relaxed

Computed properties:
**Energy of formation from the pure elements**: 0.0768 eV per atom
**Size of the total moment**: 0.0 μB/cell

Lattice parameters (Å, degrees): 6.6119 6.6119 2.9383 90.00 90.00 90.00
With the nearest neighbours (Å) after each atom.
Space group P4/mbm (No. 127)
One atom of each set of equivalent atoms:
Mn  0.1632  0.3368  0.0000  6 Al 2.38-2.47
Al  0.1360  0.6360  0.5000  6 Mn 2.38-2.47, 1 Al 2.54, 2 Ru 2.57
Ru  0.0000  0.0000  0.5000  4 Al 2.57

Compound: Ho2ErTe
Source: Alexandria via LeMat-Bulk
Functional: PBE
Structure: relaxed

Computed properties:
**Size of the total moment**: 0.0 μB/cell
**E_form (uncorrected)**: -61.3 kJ/mol of atoms

Lattice parameters (Å, degrees): 3.9101 12.0485 9.7765 90.00 90.00 90.00
With the nearest neighbours (Å) after each atom.
Space group Cmcm (No. 63)
One atom of each set of equivalent atoms:
Ho  0.0000  0.1345  0.0373  3 Te 3.10-3.21, 1 Ho 3.32
Er  0.0000  0.4435  0.2500  3 Te 3.18-3.52, 4 Ho 3.55
Te  0.0000  0.2643  0.7500  6 Ho 3.10-3.21, 2 Er 3.18

Compound: NiSn2As2
Source: Alexandria via LeMat-Bulk
Functional: PBE
Structure: relaxed

Computed properties:
**Energy of formation from the pure elements**: -0.0558 eV per atom
**Size of the total moment**: 0.0 μB/cell

Lattice parameters (Å, degrees): 6.1139 6.1139 5.8100 90.00 90.00 90.00
With the nearest neighbours (Å) after each atom.
Space group P4/mbm (No. 127)
One atom of each set of equivalent atoms:
Ni  0.0000  0.0000  0.0000  4 As 2.34
Sn  0.1974  0.3026  0.5000  2 As 2.94, 4 Sn 3.12
As  0.1457  0.3543  0.0000  2 Ni 2.34, 1 As 2.52

Compound: SrIrRh2
Source: Alexandria via LeMat-Bulk
Functional: PBE
Structure: relaxed

Computed properties:
**Energy of formation from the pure elements**: 0.3671 eV per atom
**Size of the total moment**: 0.0 μB/cell

Lattice parameters (Å, degrees): 4.1461 4.1461 8.2738 90.00 90.00 90.00
With the nearest neighbours (Å) after each atom.
Space group I-4m2 (No. 119)
One atom of each set of equivalent atoms:
Sr  0.0000  0.0000  0.0000  4 Ir 2.93, 8 Rh 2.93
Ir  0.0000  0.5000  0.7500  8 Rh 2.93, 4 Sr 2.93
Rh  0.0000  0.0000  0.5000  4 Rh 2.93, 4 Ir 2.93, 4 Sr 2.93
Rh  0.0000  0.5000  0.2500  4 Rh 2.93, 4 Sr 2.93, 4 Ir 2.93

Compound: KIO2
Source: Alexandria via LeMat-Bulk
Functional: PBE
Structure: relaxed

Computed properties:
**Size of the total moment**: 0.0 μB/cell
**E_form (uncorrected)**: -61.8 kJ/mol of atoms

Lattice parameters (Å, degrees): 6.7937 6.7937 13.5327 90.00 90.00 90.00
With the nearest neighbours (Å) after each atom.
Space group I4_1/amd (No. 141, origin choice 2)
One atom of each set of equivalent atoms:
K  0.0000  0.0000  0.0000  6 O 2.68-2.96
I  0.0000  0.0000  0.5000  4 O 2.23
O  0.0000  0.0474  0.2173  2 I 2.23

Compound: KLa2Mg
Source: Alexandria via LeMat-Bulk
Functional: PBE
Structure: relaxed

Computed properties:
**Energy of formation from the pure elements**: 0.1717 eV per atom
**Size of the total moment**: 0.0 μB/cell

Lattice parameters (Å, degrees): 3.6128 3.6128 12.0334 90.00 90.00 90.00
With the nearest neighbours (Å) after each atom.
Space group P4/mmm (No. 123)
One atom of each set of equivalent atoms:
K  0.0000  0.0000  0.0000  4 K 3.61
La  0.5000  0.5000  0.3064  4 Mg 3.46, 4 La 3.61
Mg  0.0000  0.0000  0.5000  8 La 3.46, 4 Mg 3.61